a | An optimized crystal structure of SrCa6. Source: the Alexandria database, functional PBE.

Unit cell a=16.5866 b=16.5866 c=3.8306 alpha=90.00 beta=90.00 gamma=120.00
Space group R-3 (No. 148, hexagonal axes)
One atom of each set of equivalent atoms:
Sr1 0.0000 0.0000 0.0000
Ca1 0.0499 0.8078 0.6501

=====

b | An optimized crystal structure of SrCa6. Source: the Alexandria database, functional PBE.

Unit cell a=7.314 b=7.314 c=12.140 alpha=90.00 beta=90.00 gamma=90.00
Space group P4/nbm (No. 125, origin choice 2)
One atom of each set of equivalent atoms:
Sr1 0.250 0.750 0.000
Ca1 0.077 0.577 0.365
Ca2 0.250 0.250 0.150

=====

The most stable arrangement is a, and the next structure is 0.145 eV/atom less stable.

=====

a | An optimized crystal structure of Sr3Ca7. Source: the Alexandria database, functional PBE.

Unit cell a=20.534 b=5.628 c=8.043 alpha=90.00 beta=101.57 gamma=90.00
Space group C2/m (No. 12)
One atom of each set of equivalent atoms:
Sr1 0.000 0.000 0.000
Sr2 0.198 0.000 0.602
Ca1 0.000 0.000 0.500
Ca2 0.098 0.500 0.299
Ca3 0.100 0.500 0.801
Ca4 0.199 0.000 0.097

=====

b | An optimized crystal structure of Sr3Ca7. Source: the Alexandria database, functional PBE.

Unit cell a=12.2723 b=12.2723 c=7.4334 alpha=90.00 beta=90.00 gamma=120.00
Space group P6_3mc (No. 186)
One atom of each set of equivalent atoms:
Sr1 0.2177 0.4353 0.0000
Ca1 0.9995 0.4998 0.2492
Ca2 0.1361 0.2722 0.5001
Ca3 0.3333 0.6667 0.4985

=====

The most stable arrangement is a, and the next structure is 0.130 eV/atom less stable.

=====

a | An optimized crystal structure of SrCa4. Source: the Alexandria database, functional PBE.

Unit cell a=12.578 b=12.578 c=7.410 alpha=90.00 beta=90.00 gamma=90.00
Space group P4/mbm (No. 127)
One atom of each set of equivalent atoms:
Sr1 0.233 0.267 0.000
Ca1 0.000 0.000 0.223
Ca2 0.105 0.800 0.500
Ca3 0.108 0.392 0.500

=====

b | An optimized crystal structure of SrCa4. Source: the Alexandria database, functional PBE.

Unit cell a=8.332 b=8.332 c=8.332 alpha=90.00 beta=90.00 gamma=90.00
Space group Im-3m (No. 229)
One atom of each set of equivalent atoms:
Sr1 0.000 0.000 0.000
Ca1 0.250 0.250 0.250

=====

The most stable arrangement is a, and the next structure is 0.142 eV/atom less stable.

=====

a | An optimized crystal structure of SrCa4. Source: the Alexandria database, functional PBE.

Unit cell a=6.335 b=6.335 c=6.335 alpha=90.00 beta=90.00 gamma=90.00
Space group Pm-3m (No. 221)
One atom of each set of equivalent atoms:
Sr1 0.000 0.000 0.000
Ca1 0.000 0.000 0.500
Ca2 0.500 0.500 0.500

=====

b | An optimized crystal structure of SrCa4. Source: the Alexandria database, functional PBE.

Unit cell a=10.879 b=8.494 c=6.050 alpha=90.00 beta=123.58 gamma=90.00
Space group C2/m (No. 12)
One atom of each set of equivalent atoms:
Sr1 0.000 0.000 0.000
Ca1 0.000 0.291 0.500
Ca2 0.198 0.500 0.198

=====

The most stable arrangement is b, and the next structure is 0.597 eV/atom less stable.

=====

a | An optimized crystal structure of Sr2Ca3. Source: the Alexandria database, functional PBE.

Unit cell a=10.9854 b=10.9854 c=13.8117 alpha=90.00 beta=90.00 gamma=120.00
Space group R-3c (No. 167, hexagonal axes)
One atom of each set of equivalent atoms:
Sr1 0.0000 0.0000 0.1245
Ca1 0.0000 0.3253 0.2500

=====

b | An optimized crystal structure of Sr2Ca3. Source: the Alexandria database, functional PBE.

Unit cell a=7.407 b=18.377 c=7.043 alpha=90.00 beta=90.00 gamma=90.00
Space group Ibam (No. 72)
One atom of each set of equivalent atoms:
Sr1 0.148 0.189 0.000
Ca1 0.000 0.000 0.250
Ca2 0.115 0.409 0.000

=====

c | An optimized crystal structure of Sr2Ca3. Source: the Alexandria database, functional PBE.

Unit cell a=13.522 b=19.447 c=7.147 alpha=90.00 beta=90.00 gamma=90.00
Space group Fdd2 (No. 43)
One atom of each set of equivalent atoms:
Sr1 0.023 0.301 0.000
Ca1 0.000 0.000 0.442
Ca2 0.034 0.402 0.474

=====

The most stable arrangement is c, and the next structure is 0.032 eV/atom less stable.

=====

a | An optimized crystal structure of Sr4Ca. Source: the Alexandria database, functional PBE.

Unit cell a=7.923 b=11.946 c=6.397 alpha=90.00 beta=113.51 gamma=90.00
Space group P2/c (No. 13)
One atom of each set of equivalent atoms:
Sr1 0.182 0.152 0.091
Sr2 0.218 0.393 0.607
Ca1 0.500 0.106 0.750

=====

b | An optimized crystal structure of Sr4Ca. Source: the Alexandria database, functional PBE.

Unit cell a=6.743 b=6.743 c=6.743 alpha=90.00 beta=90.00 gamma=90.00
Space group Pm-3m (No. 221)
One atom of each set of equivalent atoms:
Sr1 0.000 0.000 0.000
Sr2 0.000 0.500 0.500
Ca1 0.500 0.500 0.500

=====

c | An optimized crystal structure of Sr4Ca. Source: the Alexandria database, functional PBE.

Unit cell a=13.900 b=4.227 c=10.240 alpha=90.00 beta=120.21 gamma=90.00
Space group C2/m (No. 12)
One atom of each set of equivalent atoms:
Sr1 0.096 0.000 0.392
Sr2 0.206 0.500 0.804
Ca1 0.000 0.500 0.000

=====

The most stable arrangement is c, and the next structure is 0.108 eV/atom less stable.

=====

a | An optimized crystal structure of Sr3Ca4. Source: the Alexandria database, functional PBE.

Unit cell a=7.4392 b=7.4392 c=7.1145 alpha=90.00 beta=90.00 gamma=120.00
Space group P6/mmm (No. 191)
One atom of each set of equivalent atoms:
Sr1 0.0000 0.5000 0.0000
Ca1 0.0000 0.0000 0.2554
Ca2 0.3333 0.6667 0.5000

=====

b | An optimized crystal structure of Sr3Ca4. Source: the Alexandria database, functional PBE.

Unit cell a=4.069 b=5.695 c=28.474 alpha=90.00 beta=90.00 gamma=90.00
Space group Immm (No. 71)
One atom of each set of equivalent atoms:
Sr1 0.000 0.000 0.000
Sr2 0.000 0.000 0.144
Ca1 0.000 0.000 0.284
Ca2 0.000 0.000 0.428

=====

The most stable arrangement is b, and the next structure is 0.110 eV/atom less stable.

=====

a | An optimized crystal structure of Sr2Ca7. Source: the Alexandria database, functional PBE.

Unit cell a=6.9096 b=6.9096 c=9.6883 alpha=90.00 beta=90.00 gamma=120.00
Space group P-31m (No. 162)
One atom of each set of equivalent atoms:
Sr1 0.3333 0.6667 0.0000
Ca1 0.0000 0.0000 0.0000
Ca2 0.0000 0.3301 0.6617

=====

b | An optimized crystal structure of Sr2Ca7. Source: the Alexandria database, functional PBE.

Unit cell a=10.9552 b=10.9552 c=3.8813 alpha=90.00 beta=90.00 gamma=120.00
Space group P-62m (No. 189)
One atom of each set of equivalent atoms:
Sr1 0.3333 0.6667 0.0000
Ca1 0.0000 0.0000 0.5000
Ca2 0.0000 0.3048 0.0000
Ca3 0.0000 0.6506 0.5000

=====

The most stable arrangement is a, and the next structure is 0.029 eV/atom less stable.

=====

a | An optimized crystal structure of Sr2CaTa. Source: the Alexandria database, functional PBE.

Unit cell a=7.272 b=10.920 c=3.521 alpha=90.00 beta=90.00 gamma=90.00
Space group Cmmm (No. 65)
One atom of each set of equivalent atoms:
Sr1 0.250 0.250 0.000
Ca1 0.000 0.000 0.500
Ta1 0.000 0.500 0.500

=====

b | An optimized crystal structure of Sr2CaTa. Source: the Alexandria database, functional PBE.

Unit cell a=12.647 b=3.588 c=6.382 alpha=90.00 beta=104.70 gamma=90.00
Space group C2/m (No. 12)
One atom of each set of equivalent atoms:
Sr1 0.223 0.000 0.223
Ca1 0.000 0.000 0.500
Ta1 0.000 0.500 0.000

=====

c | An optimized crystal structure of Sr2CaTa. Source: the Alexandria database, functional PBE.

Unit cell a=3.5871 b=3.5871 c=37.3422 alpha=90.00 beta=90.00 gamma=120.00
Space group R-3m (No. 166, hexagonal axes)
One atom of each set of equivalent atoms:
Sr1 0.0000 0.0000 0.2377
Ca1 0.0000 0.0000 0.0000
Ta1 0.0000 0.0000 0.5000

=====

The most stable arrangement is c, and the next structure is 0.091 eV/atom less stable.

=====

a | An optimized crystal structure of Sr2CaTa. Source: the Alexandria database, functional PBE.

Unit cell a=5.277 b=5.277 c=10.339 alpha=90.00 beta=90.00 gamma=90.00
Space group I-4m2 (No. 119)
One atom of each set of equivalent atoms:
Sr1 0.000 0.000 0.000
Sr2 0.000 0.500 0.250
Ca1 0.000 0.000 0.500
Ta1 0.000 0.500 0.750

=====

b | An optimized crystal structure of Sr2CaTa. Source: the Alexandria database, functional PBE.

Unit cell a=8.262 b=8.262 c=8.262 alpha=90.00 beta=90.00 gamma=90.00
Space group F-43m (No. 216)
One atom of each set of equivalent atoms:
Sr1 0.000 0.000 0.000
Sr2 0.250 0.250 0.250
Ca1 0.000 0.000 0.500
Ta1 0.250 0.250 0.750

=====

The most stable arrangement is a, and the next structure is 0.022 eV/atom less stable.